Record 1
First-principles (GGA-PBE) data for a relaxed structure of Mn2ZnSn, as listed in Alexandria.

Unit cell a=3.791 b=3.791 c=9.336 alpha=78.29 beta=78.29 gamma=90.00
Sites, in units of the cell vectors:
Zn: 0.500 0.500 0.000
Zn: 0.250 0.750 0.500
Mn: 0.527 0.125 0.250
Mn: 0.223 0.625 0.250
Mn: 0.375 0.473 0.750
Mn: 0.875 0.777 0.750
Sn: 0.000 0.000 0.000
Sn: 0.750 0.250 0.500

## Properties
spin magnetization	0.001	μB per formula unit
mass density	7596	kg/m3
DFT total energy	-42.5	eV/cell

---

Record 2
First-principles (GGA-PBE) data for a relaxed structure of BeGa6Pd12, as listed in Alexandria.

Unit cell a=6.809 b=6.809 c=6.809 alpha=98.96 beta=98.96 gamma=98.96
Sites, in units of the cell vectors:
Be: 0.000 0.000 0.000
Ga: 0.689 0.878 0.314
Ga: 0.686 0.311 0.122
Ga: 0.122 0.686 0.311
Ga: 0.311 0.122 0.686
Ga: 0.314 0.689 0.878
Ga: 0.878 0.314 0.689
Pd: 0.805 0.568 0.461
Pd: 0.461 0.805 0.568
Pd: 0.568 0.461 0.805
Pd: 0.195 0.432 0.539
Pd: 0.539 0.195 0.432
Pd: 0.432 0.539 0.195
Pd: 0.066 0.041 0.330
Pd: 0.959 0.670 0.934
Pd: 0.670 0.934 0.959
Pd: 0.934 0.959 0.670
Pd: 0.041 0.330 0.066
Pd: 0.330 0.066 0.041

## Properties
spin magnetization	0.000	μB per formula unit
mass density	9349	kg/m3
DFT total energy	-92.5	eV/cell

---

Record 3
First-principles (GGA-PBE) data for a relaxed structure of LiTc3, as listed in Alexandria.

Unit cell a=2.734 b=2.734 c=9.123 alpha=90.00 beta=90.00 gamma=120.00
Sites, in units of the cell vectors:
Li: 0.000 0.000 0.000
Tc: 0.000 0.000 0.500
Tc: 0.667 0.333 0.262
Tc: 0.667 0.333 0.738

## Properties
spin magnetization	0.000	μB per formula unit
mass density	8461	kg/m3
DFT total energy	-32.3	eV/cell

---

Record 4
First-principles (GGA-PBE) data for a relaxed structure of NdAlGaCu, as listed in Alexandria.

Unit cell a=4.785 b=4.785 c=4.785 alpha=60.00 beta=60.00 gamma=60.00
Sites, in units of the cell vectors:
Nd: 0.000 0.000 0.000
Cu: 0.750 0.750 0.750
Ga: 0.250 0.250 0.250
Al: 0.500 0.500 0.500

## Properties
spin magnetization	0.000	μB per formula unit
mass density	6529	kg/m3
DFT total energy	-16.8	eV/cell